5
Lattice="6.316 0.000 0.000 0.000 6.316 0.000 0.000 0.000 6.566" Properties=species:S:1:pos:R:3 comment="K2RbTlAu GGA-PBE relaxed" de_polymorph_ev_per_atom=0.071 formation_energy_ev_per_atom=-0.024 dos_ef_per_ev_atom=0.730 total_magnetization_mub_per_fu=0.000 sg="P4/mmm, No. 123" mass_density_g_cm3=3.58 pbc="T T T"
K 0.000 3.158 0.000
K 3.158 0.000 0.000
Rb 0.000 0.000 3.283
Tl 3.158 3.158 3.283
Au 0.000 0.000 0.000